# 1
A relaxed structure of TbAsN2O. Source: OQMD, functional PBE.

a b c (Å): 7.2737 5.7681 5.6129
angles (deg): 90.00 90.00 90.00
Space group Pmc2_1 (No. 26)
One atom of each set of equivalent atoms:
Tb 0.0000 0.1827 0.0000 (multiplicity 2)
Tb 0.5000 0.1940 0.9033 (multiplicity 2)
As 0.2475 0.3341 0.4432 (multiplicity 4)
N 0.0000 0.1986 0.4212 (multiplicity 2)
N 0.2081 0.3988 0.7778 (multiplicity 4)
N 0.5000 0.3640 0.5325 (multiplicity 2)
O 0.2970 0.1013 0.2125 (multiplicity 4)

Output
**DFT total energy**: -7.091 eV/atom

***

# 2
A relaxed structure of TbAsN2O. Source: OQMD, functional PBE.

a b c (Å): 5.4270 3.6384 5.5774
angles (deg): 90.00 90.00 90.00
Space group Pmma (No. 51)
One atom of each set of equivalent atoms:
Tb 0.2500 0.0000 0.2174 (multiplicity 2)
As 0.2500 0.5000 0.7183 (multiplicity 2)
N 0.0000 0.5000 0.5000 (multiplicity 2)
N 0.2500 0.0000 0.8015 (multiplicity 2)
O 0.0000 0.5000 0.0000 (multiplicity 2)

Output
**DFT total energy**: -6.873 eV/atom

***

# 3
A relaxed structure of TbAsN2O. Source: OQMD, functional PBE.

a b c (Å): 7.9509 7.2577 10.9848
angles (deg): 90.00 133.02 90.00
Space group P2_1/c (No. 14)
One atom of each set of equivalent atoms:
Tb 0.1357 0.0096 0.4232 (multiplicity 4)
Tb 0.2083 0.5140 0.4855 (multiplicity 4)
As 0.3218 0.2495 0.2922 (multiplicity 4)
As 0.3340 0.7419 0.7864 (multiplicity 4)
N 0.1985 0.0032 0.2118 (multiplicity 4)
N 0.2914 0.5102 0.3112 (multiplicity 4)
N 0.3887 0.2265 0.6549 (multiplicity 4)
N 0.4120 0.7035 0.9949 (multiplicity 4)
O 0.0685 0.2332 0.7824 (multiplicity 4)
O 0.1000 0.7151 0.0508 (multiplicity 4)

Output
**DFT total energy**: -7.073 eV/atom

***

# 4
A relaxed structure of TbAsN2O. Source: OQMD, functional PBE.

a b c (Å): 5.3655 5.3655 13.4147
angles (deg): 90.00 90.00 120.00
Space group P6_3/mmc (No. 194)
One atom of each set of equivalent atoms:
Tb 0.0000 0.0000 0.2500 (multiplicity 2)
Tb 0.3333 0.6667 0.0733 (multiplicity 4)
As 0.0000 0.0000 0.0000 (multiplicity 2)
As 0.3333 0.6667 0.6505 (multiplicity 4)
N 0.1639 0.3277 0.5839 (multiplicity 12)
O 0.0199 0.5100 0.7500 (multiplicity 6)

Output
**DFT total energy**: -6.806 eV/atom

***

# 5
A relaxed structure of ZnAsNO. Source: OQMD, functional PBE.

a b c (Å): 3.0877 6.2936 5.3219
angles (deg): 90.00 90.00 90.00
Space group Pmc2_1 (No. 26)
One atom of each set of equivalent atoms:
Zn 0.0000 0.1126 0.0000 (multiplicity 2)
As 0.5000 0.3430 0.4967 (multiplicity 2)
N 0.0000 0.1951 0.3587 (multiplicity 2)
O 0.5000 0.1927 0.7854 (multiplicity 2)

Output
**DFT total energy**: -5.283 eV/atom
**E above lowest polymorph**: 0.000 eV per atom

***

# 6
A relaxed structure of ZnAsNO. Source: OQMD, functional PBE.

a b c (Å): 4.5035 4.5035 4.3501
angles (deg): 90.00 90.00 90.00
Space group P4/nmm (No. 129, origin choice 2)
One atom of each set of equivalent atoms:
Zn 0.2500 0.2500 0.0030 (multiplicity 2)
As 0.2500 0.7500 0.5000 (multiplicity 2)
N 0.2500 0.2500 0.5019 (multiplicity 2)
O 0.2500 0.7500 0.0000 (multiplicity 2)

Output
**DFT total energy**: -4.898 eV/atom
**E above lowest polymorph**: 0.386 eV per atom

***

no.,theoretical density (g cm⁻³)
1,7.8
2,8.4
3,8.0
4,8.3
5,5.5
6,6.4